(1)
A plane-wave DFT calculation with PBE was carried out for a relaxed Ho2Ni3Ge4 crystal.

Summary:
M_tot = 0.00 μB/f.u.
V = 16.21 A^3/atom
DFT formation energy = -5.66 eV per formula unit

```
data_Ho2Ni3Ge4
_chemical_formula_sum 'Ho8 Ni12 Ge16'
_cell_length_a 5.5716
_cell_length_b 14.4605
_cell_length_c 7.2445
_cell_angle_alpha 90.00
_cell_angle_beta 90.00
_cell_angle_gamma 90.00
_symmetry_space_group_name_H-M 'C m c e'
_symmetry_Int_Tables_number 64
_symmetry_space_group_name_Hall '-C 2ac 2'
loop_
_atom_site_label
_atom_site_type_symbol
_atom_site_fract_x
_atom_site_fract_y
_atom_site_fract_z
Ho1 Ho 0.0000 0.1106 0.0933
Ni1 Ni 0.0000 0.0000 0.5000
Ni2 Ni 0.2500 0.2256 0.7500
Ge1 Ge 0.0000 0.1836 0.4745
Ge2 Ge 0.2500 0.0584 0.7500
```

(2)
A plane-wave DFT calculation with PBE was carried out for a relaxed Ho2NiGe crystal.

Summary:
M_tot = 0.00 μB/f.u.
V = 21.46 A^3/atom
DFT formation energy = -2.76 eV per formula unit

```
data_Ho2NiGe
_chemical_formula_sum 'Ho4 Ni2 Ge2'
_cell_length_a 5.7727
_cell_length_b 4.1253
_cell_length_c 7.6930
_cell_angle_alpha 90.00
_cell_angle_beta 110.40
_cell_angle_gamma 90.00
_symmetry_space_group_name_H-M 'P 1 21/m 1'
_symmetry_Int_Tables_number 11
loop_
_symmetry_equiv_pos_as_xyz
'x,y,z'
'-x,-y,-z'
'-x,y+1/2,-z'
'x,-y+1/2,z'
loop_
_atom_site_label
_atom_site_type_symbol
_atom_site_fract_x
_atom_site_fract_y
_atom_site_fract_z
Ho1 Ho 0.2188 0.2500 0.4446
Ho2 Ho 0.2238 0.2500 0.9110
Ni1 Ni 0.3671 0.7500 0.7155
Ge1 Ge 0.3359 0.7500 0.2085
```

(3)
A plane-wave DFT calculation with PBE was carried out for a relaxed HoNiGe crystal.

Summary:
M_tot = 0.00 μB/f.u.
V = 18.12 A^3/atom
DFT formation energy = -2.29 eV per formula unit

```
data_HoNiGe
_chemical_formula_sum 'Ho1 Ni1 Ge1'
_cell_length_a 4.2067
_cell_length_b 4.2067
_cell_length_c 3.5476
_cell_angle_alpha 90.00
_cell_angle_beta 90.00
_cell_angle_gamma 120.00
_symmetry_space_group_name_H-M 'P -6 m 2'
_symmetry_Int_Tables_number 187
_symmetry_space_group_name_Hall 'P -6 2'
loop_
_atom_site_label
_atom_site_type_symbol
_atom_site_fract_x
_atom_site_fract_y
_atom_site_fract_z
Ho1 Ho 0.0000 0.0000 0.0000
Ni1 Ni 0.3333 0.6667 0.5000
Ge1 Ge 0.6667 0.3333 0.5000
```

(4)
A plane-wave DFT calculation with PBE was carried out for a relaxed Ho2Ni3Ge2 crystal.

Summary:
M_tot = 0.00 μB/f.u.
V = 16.68 A^3/atom
DFT formation energy = -4.49 eV per formula unit

```
data_Ho2Ni3Ge2
_chemical_formula_sum 'Ho4 Ni6 Ge4'
_cell_length_a 10.1903
_cell_length_b 3.8296
_cell_length_c 6.5900
_cell_angle_alpha 90.00
_cell_angle_beta 114.76
_cell_angle_gamma 90.00
_symmetry_space_group_name_H-M 'C 1 2/m 1'
_symmetry_Int_Tables_number 12
loop_
_symmetry_equiv_pos_as_xyz
'x,y,z'
'-x,-y,-z'
'-x,y,-z'
'x,-y,z'
'x+1/2,y+1/2,z'
'-x+1/2,-y+1/2,-z'
'-x+1/2,y+1/2,-z'
'x+1/2,-y+1/2,z'
loop_
_atom_site_label
_atom_site_type_symbol
_atom_site_fract_x
_atom_site_fract_y
_atom_site_fract_z
Ho1 Ho 0.1330 0.0000 0.2606
Ni1 Ni 0.0000 0.5000 0.5000
Ni2 Ni 0.1141 0.5000 0.9301
Ge1 Ge 0.1501 0.0000 0.7320
```

(5)
A plane-wave DFT calculation with PBE was carried out for a relaxed Ho3Ni8Ge crystal.

Summary:
M_tot = 0.00 μB/f.u.
V = 14.67 A^3/atom
DFT formation energy = -5.11 eV per formula unit

```
data_Ho3Ni8Ge
_chemical_formula_sum 'Ho9 Ni24 Ge3'
_cell_length_a 5.0118
_cell_length_b 5.0118
_cell_length_c 24.2838
_cell_angle_alpha 90.00
_cell_angle_beta 90.00
_cell_angle_gamma 120.00
_symmetry_space_group_name_H-M 'R 3 m'
_symmetry_Int_Tables_number 160
_symmetry_space_group_name_Hall 'R 3 -2"'
loop_
_atom_site_label
_atom_site_type_symbol
_atom_site_fract_x
_atom_site_fract_y
_atom_site_fract_z
Ho1 Ho 0.0000 0.0000 0.0000
Ho2 Ho 0.0000 0.0000 0.1303
Ho3 Ho 0.0000 0.0000 0.6112
Ni1 Ni 0.0000 0.0000 0.3119
Ni2 Ni 0.0000 0.0000 0.8127
Ni3 Ni 0.0028 0.5014 0.5617
Ni4 Ni 0.1680 0.3360 0.3950
Ge1 Ge 0.0000 0.0000 0.4817
```

(6)
A plane-wave DFT calculation with PBE was carried out for a relaxed Ho2Ni4GeP3 crystal.

Summary:
M_tot = 0.00 μB/f.u.
V = 14.60 A^3/atom
DFT formation energy = -9.22 eV per formula unit

```
data_Ho2Ni4GeP3
_chemical_formula_sum 'Ho2 Ni4 Ge1 P3'
_cell_length_a 3.9142
_cell_length_b 3.9142
_cell_length_c 9.5286
_cell_angle_alpha 90.00
_cell_angle_beta 90.00
_cell_angle_gamma 90.00
_symmetry_space_group_name_H-M 'P -4 m 2'
_symmetry_Int_Tables_number 115
loop_
_symmetry_equiv_pos_as_xyz
'x,y,z'
'y,-x,-z'
'-x,-y,z'
'-y,x,-z'
'-x,y,z'
'-y,-x,-z'
'x,-y,z'
'y,x,-z'
loop_
_atom_site_label
_atom_site_type_symbol
_atom_site_fract_x
_atom_site_fract_y
_atom_site_fract_z
Ho1 Ho 0.0000 0.5000 0.2416
Ni1 Ni 0.0000 0.0000 0.0000
Ni2 Ni 0.0000 0.5000 0.6345
Ni3 Ni 0.5000 0.5000 0.0000
Ge1 Ge 0.0000 0.0000 0.5000
P1 P 0.0000 0.5000 0.8694
P2 P 0.5000 0.5000 0.5000
```

(7)
A plane-wave DFT calculation with PBE was carried out for a relaxed HoNiGe2Pd crystal.

Summary:
M_tot = 0.00 μB/f.u.
V = 17.41 A^3/atom
DFT formation energy = -3.52 eV per formula unit

```
data_HoNiGe2Pd
_chemical_formula_sum 'Ho2 Ni2 Ge4 Pd2'
_cell_length_a 4.1608
_cell_length_b 4.1608
_cell_length_c 10.0538
_cell_angle_alpha 90.00
_cell_angle_beta 90.00
_cell_angle_gamma 90.00
_symmetry_space_group_name_H-M 'I -4 m 2'
_symmetry_Int_Tables_number 119
_symmetry_space_group_name_Hall 'I -4 -2'
loop_
_atom_site_label
_atom_site_type_symbol
_atom_site_fract_x
_atom_site_fract_y
_atom_site_fract_z
Ho1 Ho 0.0000 0.0000 0.0000
Ni1 Ni 0.0000 0.5000 0.7500
Ge1 Ge 0.0000 0.0000 0.3775
Pd1 Pd 0.0000 0.5000 0.2500
```

(8)
A plane-wave DFT calculation with PBE was carried out for a relaxed Ho2NiGe4Pd3 crystal.

Summary:
M_tot = 0.00 μB/f.u.
V = 18.15 A^3/atom
DFT formation energy = -7.12 eV per formula unit

```
data_Ho2NiGe4Pd3
_chemical_formula_sum 'Ho2 Ni1 Ge4 Pd3'
_cell_length_a 4.1759
_cell_length_b 4.1759
_cell_length_c 10.4085
_cell_angle_alpha 90.00
_cell_angle_beta 90.00
_cell_angle_gamma 90.00
_symmetry_space_group_name_H-M 'P -4 m 2'
_symmetry_Int_Tables_number 115
loop_
_symmetry_equiv_pos_as_xyz
'x,y,z'
'y,-x,-z'
'-x,-y,z'
'-y,x,-z'
'-x,y,z'
'-y,-x,-z'
'x,-y,z'
'y,x,-z'
loop_
_atom_site_label
_atom_site_type_symbol
_atom_site_fract_x
_atom_site_fract_y
_atom_site_fract_z
Ho1 Ho 0.0000 0.5000 0.2379
Ni1 Ni 0.5000 0.5000 0.0000
Ge1 Ge 0.0000 0.0000 0.5000
Ge2 Ge 0.0000 0.5000 0.8751
Ge3 Ge 0.5000 0.5000 0.5000
Pd1 Pd 0.0000 0.0000 0.0000
Pd2 Pd 0.0000 0.5000 0.6410
```

(9)
A plane-wave DFT calculation with PBE was carried out for a relaxed PmHoNiGe crystal.

Summary:
M_tot = 0.00 μB/f.u.
V = 21.93 A^3/atom
DFT formation energy = -2.00 eV per formula unit

```
data_PmHoNiGe
_chemical_formula_sum 'Pm4 Ho4 Ni4 Ge4'
_cell_length_a 7.0536
_cell_length_b 7.0536
_cell_length_c 7.0536
_cell_angle_alpha 90.00
_cell_angle_beta 90.00
_cell_angle_gamma 90.00
_symmetry_space_group_name_H-M 'F -4 3 m'
_symmetry_Int_Tables_number 216
_symmetry_space_group_name_Hall 'F -4 2 3'
loop_
_atom_site_label
_atom_site_type_symbol
_atom_site_fract_x
_atom_site_fract_y
_atom_site_fract_z
Pm1 Pm 0.0000 0.0000 0.0000
Ho1 Ho 0.0000 0.0000 0.5000
Ni1 Ni 0.2500 0.2500 0.2500
Ge1 Ge 0.2500 0.2500 0.7500
```

(10)
A plane-wave DFT calculation with PBE was carried out for a relaxed PmHoNi2Ge2 crystal.

Summary:
M_tot = 0.00 μB/f.u.
V = 18.84 A^3/atom
DFT formation energy = -4.47 eV per formula unit

```
data_PmHoNi2Ge2
_chemical_formula_sum 'Pm1 Ho1 Ni2 Ge2'
_cell_length_a 4.2496
_cell_length_b 4.2496
_cell_length_c 7.2269
_cell_angle_alpha 90.00
_cell_angle_beta 90.00
_cell_angle_gamma 120.00
_symmetry_space_group_name_H-M 'P -3 m 1'
_symmetry_Int_Tables_number 164
_symmetry_space_group_name_Hall '-P 3 2"'
loop_
_atom_site_label
_atom_site_type_symbol
_atom_site_fract_x
_atom_site_fract_y
_atom_site_fract_z
Pm1 Pm 0.0000 0.0000 0.0000
Ho1 Ho 0.0000 0.0000 0.5000
Ni1 Ni 0.3333 0.6667 0.7178
Ge1 Ge 0.3333 0.6667 0.2674
```

| no. | E (eV/atom) |
| --- | --- |
| 1 | -5.626 |
| 2 | -5.579 |
| 3 | -5.754 |
| 4 | -5.747 |
| 5 | -5.809 |
| 6 | -6.234 |
| 7 | -5.661 |
| 8 | -5.611 |
| 9 | -5.431 |
| 10 | -5.766 |